## P
VASP calculation (GGA-PBE) on an optimized crystal structure of Pm2AlGa2.

Calculated values
D(E_F) = 0.80 states/eV/atom
Magnetization = 0.00 μB per cell

Lattice parameters (Å, degrees): 4.202 5.959 9.356 90.00 90.00 90.00
Space group Immm (No. 71)
Unique sites:
1 Pm 0.000 0.000 0.210 (multiplicity 4)
2 Al 0.000 0.500 0.000 (multiplicity 2)
3 Ga 0.000 0.273 0.500 (multiplicity 4)

***

## Q
VASP calculation (GGA-PBE) on an optimized crystal structure of Pm2AlGa2.

Calculated values
D(E_F) = 0.86 states/eV/atom
Magnetization = 0.01 μB per cell

Lattice parameters (Å, degrees): 11.125 4.460 10.659 90.00 117.63 90.00
Space group C2/m (No. 12)
Unique sites:
1 Pm 0.000 0.000 0.175 (multiplicity 4)
2 Pm 0.184 0.000 0.599 (multiplicity 4)
3 Al 0.217 0.500 0.846 (multiplicity 4)
4 Ga 0.021 0.500 0.386 (multiplicity 4)
5 Ga 0.142 0.500 0.063 (multiplicity 4)

***

Q wins, 42 meV/atom ahead of the next structure.

***

## P
VASP calculation (GGA-PBE) on an optimized crystal structure of PmTmAlGa.

Calculated values
D(E_F) = 0.83 states/eV/atom
Magnetization = 0.00 μB per cell

Lattice parameters (Å, degrees): 4.103 4.430 11.087 90.00 90.00 90.00
Space group Amm2 (No. 38)
Unique sites:
1 Pm 0.000 0.000 0.000 (multiplicity 2)
2 Tm 0.500 0.000 0.281 (multiplicity 2)
3 Al 0.000 0.000 0.714 (multiplicity 2)
4 Ga 0.500 0.000 0.567 (multiplicity 2)

***

## Q
VASP calculation (GGA-PBE) on an optimized crystal structure of PmTmAlGa.

Calculated values
D(E_F) = 0.32 states/eV/atom
Magnetization = 0.00 μB per cell

Lattice parameters (Å, degrees): 7.232 7.232 7.232 90.00 90.00 90.00
Space group F-43m (No. 216)
Unique sites:
1 Pm 0.000 0.000 0.000 (multiplicity 4)
2 Tm 0.000 0.000 0.500 (multiplicity 4)
3 Al 0.250 0.250 0.750 (multiplicity 4)
4 Ga 0.250 0.250 0.250 (multiplicity 4)

***

P wins, 28 meV/atom ahead of the next structure.

***

## P
VASP calculation (GGA-PBE) on an optimized crystal structure of PmYAlGa.

Calculated values
D(E_F) = 0.91 states/eV/atom
Magnetization = 0.00 μB per cell

Lattice parameters (Å, degrees): 4.126 4.458 11.197 90.00 90.00 90.00
Space group Amm2 (No. 38)
Unique sites:
1 Pm 0.000 0.000 0.000 (multiplicity 2)
2 Y 0.500 0.000 0.719 (multiplicity 2)
3 Al 0.000 0.000 0.288 (multiplicity 2)
4 Ga 0.500 0.000 0.433 (multiplicity 2)

***

## Q
VASP calculation (GGA-PBE) on an optimized crystal structure of PmYAlGa.

Calculated values
D(E_F) = 0.34 states/eV/atom
Magnetization = 0.00 μB per cell

Lattice parameters (Å, degrees): 7.283 7.283 7.283 90.00 90.00 90.00
Space group F-43m (No. 216)
Unique sites:
1 Pm 0.000 0.000 0.000 (multiplicity 4)
2 Y 0.000 0.000 0.500 (multiplicity 4)
3 Al 0.250 0.250 0.750 (multiplicity 4)
4 Ga 0.250 0.250 0.250 (multiplicity 4)

***

P wins, 35 meV/atom ahead of the next structure.

***

## P
VASP calculation (GGA-PBE) on an optimized crystal structure of Pr4AlGa.

Calculated values
D(E_F) = 1.14 states/eV/atom
Magnetization = 0.00 μB per cell

Lattice parameters (Å, degrees): 3.951 5.815 8.298 90.00 90.00 90.00
Space group Pmmm (No. 47)
Unique sites:
1 Pr 0.000 0.000 0.213 (multiplicity 2)
2 Pr 0.500 0.500 0.282 (multiplicity 2)
3 Al 0.500 0.000 0.500 (multiplicity 1)
4 Ga 0.000 0.500 0.000 (multiplicity 1)

***

## Q
VASP calculation (GGA-PBE) on an optimized crystal structure of Pr4AlGa.

Calculated values
D(E_F) = 1.46 states/eV/atom
Magnetization = 0.00 μB per cell

Lattice parameters (Å, degrees): 5.160 5.160 7.437 90.00 90.00 90.00
Space group P4/mmm (No. 123)
Unique sites:
1 Pr 0.000 0.500 0.247 (multiplicity 4)
2 Al 0.000 0.000 0.500 (multiplicity 1)
3 Ga 0.500 0.500 0.000 (multiplicity 1)

***

Q wins, 52 meV/atom ahead of the next structure.

***

## P
VASP calculation (GGA-PBE) on an optimized crystal structure of Pr2AlGa2.

Calculated values
D(E_F) = 0.89 states/eV/atom
Magnetization = 0.00 μB per cell

Lattice parameters (Å, degrees): 4.252 5.981 9.536 90.00 90.00 90.00
Space group Immm (No. 71)
Unique sites:
1 Pr 0.000 0.000 0.209 (multiplicity 4)
2 Al 0.000 0.500 0.000 (multiplicity 2)
3 Ga 0.000 0.270 0.500 (multiplicity 4)

***

## Q
VASP calculation (GGA-PBE) on an optimized crystal structure of Pr2AlGa2.

Calculated values
D(E_F) = 0.83 states/eV/atom
Magnetization = 0.00 μB per cell

Lattice parameters (Å, degrees): 11.316 4.498 10.808 90.00 117.80 90.00
Space group C2/m (No. 12)
Unique sites:
1 Pr 0.001 0.000 0.173 (multiplicity 4)
2 Pr 0.184 0.000 0.601 (multiplicity 4)
3 Al 0.214 0.500 0.847 (multiplicity 4)
4 Ga 0.020 0.500 0.386 (multiplicity 4)
5 Ga 0.146 0.500 0.063 (multiplicity 4)

***

Q wins, 42 meV/atom ahead of the next structure.

***

## P
VASP calculation (GGA-PBE) on an optimized crystal structure of PrAl3Ga3.

Calculated values
D(E_F) = 0.35 states/eV/atom
Magnetization = 0.00 μB per cell

Lattice parameters (Å, degrees): 11.933 11.933 11.933 90.00 90.00 90.00
Space group Fm-3m (No. 225)
Unique sites:
1 Pr 0.250 0.250 0.250 (multiplicity 8)
2 Al 0.000 0.000 0.154 (multiplicity 24)
3 Ga 0.000 0.000 0.349 (multiplicity 24)

***

## Q
VASP calculation (GGA-PBE) on an optimized crystal structure of PrAl3Ga3.

Calculated values
D(E_F) = 0.32 states/eV/atom
Magnetization = 0.00 μB per cell

Lattice parameters (Å, degrees): 6.985 6.985 6.985 90.00 90.00 90.00
Space group Pm-3n (No. 223)
Unique sites:
1 Pr 0.000 0.000 0.000 (multiplicity 2)
2 Al 0.000 0.250 0.500 (multiplicity 6)
3 Ga 0.000 0.500 0.250 (multiplicity 6)

***

Q wins, 290 meV/atom ahead of the next structure.